No. 1
A plane-wave DFT calculation with GGA-PBE was carried out for an optimized crystal structure of HfScPt6.

a b c (Å): 4.0223 4.0223 8.0340
angles (deg): 90.00 90.00 90.00
With the nearest neighbours (Å) after each atom.
Fractional positions:
Pt 0.5000 0.5000 0.5000  4 Sc 2.84, 8 Pt 2.85
Pt 0.5000 0.5000 0.0000  8 Pt 2.84, 4 Hf 2.84
Pt 0.0000 0.5000 0.2488  2 Hf 2.84, 8 Pt 2.84-2.85, 2 Sc 2.85
Pt 0.0000 0.5000 0.7512  2 Hf 2.84, 8 Pt 2.84-2.85, 2 Sc 2.85
Pt 0.5000 0.0000 0.2488  2 Hf 2.84, 8 Pt 2.84-2.85, 2 Sc 2.85
Pt 0.5000 0.0000 0.7512  2 Hf 2.84, 8 Pt 2.84-2.85, 2 Sc 2.85
Hf 0.0000 0.0000 0.0000  12 Pt 2.84
Sc 0.0000 0.0000 0.5000  12 Pt 2.84-2.85

For the volume, the calculation gives 130 Å³/f.u. For the formation energy from the elements, the calculation gives -1.1093 eV per atom. Its total energy is -0.564 Ry/atom.

No. 2
A plane-wave DFT calculation with GGA-PBE was carried out for an optimized crystal structure of ReSnF3.

a b c (Å): 4.6732 4.6732 4.6732
angles (deg): 90.00 90.00 90.00
With the nearest neighbours (Å) after each atom.
Fractional positions:
F 0.0000 0.0000 0.5000  2 Sn 2.34
F 0.0000 0.5000 0.0000  2 Sn 2.34
F 0.5000 0.0000 0.0000  2 Sn 2.34
Re 0.5000 0.5000 0.5000  12 F 3.30
Sn 0.0000 0.0000 0.0000  6 F 2.34

For the volume, the calculation gives 102 Å³/f.u. As for the uncorrected formation energy: -0.49 eV/atom. Its total energy is -0.360 Ry/atom.

No. 3
A plane-wave DFT calculation with GGA-PBE was carried out for an optimized crystal structure of RuAuBr.

a b c (Å): 4.4894 4.4894 4.4894
angles (deg): 60.00 60.00 60.00
With the nearest neighbours (Å) after each atom.
Fractional positions:
Au 0.0000 0.0000 0.0000  4 Ru 2.75
Ru 0.2500 0.2500 0.2500  4 Br 2.75, 4 Au 2.75
Br 0.5000 0.5000 0.5000  4 Ru 2.75

For the volume, the calculation gives 64 Å³/f.u. As for the uncorrected formation energy: 0.80 eV/atom. Its total energy is -0.290 Ry/atom.

No. 4
A plane-wave DFT calculation with GGA-PBE was carried out for an optimized crystal structure of Ac2TcGe4Pt3.

a b c (Å): 4.4091 4.4091 10.4921
angles (deg): 90.00 90.00 90.00
With the nearest neighbours (Å) after each atom.
Fractional positions:
Pt 0.5000 0.0000 0.8713  5 Ge 2.59-2.60
Pt 0.0000 0.0000 0.5000  4 Ge 2.56
Pt 0.0000 0.5000 0.1287  5 Ge 2.59-2.60
Ge 0.5000 0.0000 0.6233  2 Tc 2.56, 3 Pt 2.56-2.60
Ge 0.0000 0.5000 0.3767  3 Pt 2.56-2.60, 2 Tc 2.56
Ge 0.5000 0.5000 0.0000  4 Pt 2.59
Ge 0.0000 0.0000 0.0000  4 Pt 2.59
Ac 0.5000 0.0000 0.2462  6 Pt 3.35-3.46, 8 Ge 3.40-3.41, 2 Tc 3.46
Ac 0.0000 0.5000 0.7538  6 Pt 3.35-3.46, 8 Ge 3.40-3.41, 2 Tc 3.46
Tc 0.5000 0.5000 0.5000  4 Ge 2.56

For the volume, the calculation gives 204 Å³/f.u. For the formation energy from the elements, the calculation gives -0.8430 eV per atom. Its total energy is -0.467 Ry/atom.